Entry from Alexandria: a relaxed HfV3Pt crystal (PBE-GGA).

Cell lengths 4.6496, 4.6496, 4.6496 Å; angles 90.00, 90.00, 90.00 degrees
Last column: nearest neighbours and their distance in Å.
Positions (direct):
Pt 0.0000 0.0000 0.0000  6 V 2.32
Hf 0.5000 0.5000 0.5000  12 V 3.29
V 0.5000 0.0000 0.0000  2 Pt 2.32
V 0.0000 0.5000 0.0000  2 Pt 2.32
V 0.0000 0.0000 0.5000  2 Pt 2.32

Computed properties:
Formation energy = 4.49 eV/f.u.
Calculated volume = 100.52 Å³ per cell
SG = Pm-3m, No. 221
Relative energy among the computed polymorphs = 0.0 kJ/mol of atoms